Material: LiSiNi
Method: DFT, PBE-GGA
State: optimized geometry

abc: 2.668 2.668 6.152
angles: 90.00 90.00 120.00
Element x y z (fractional)
Si 0.333 0.667 0.644
Li 0.000 0.000 0.003
Ni 0.667 0.333 0.353

* space-group type: P3m1 (156)
* energy relative to the elements, uncorrected: -0.122 eV per atom
* crystal system: trigonal
* electronic total energy: -13.5 eV per cell



Material: Tb3Nd2Ga2
Method: DFT, PBE-GGA
State: optimized geometry

abc: 4.224 6.426 8.668
angles: 112.06 90.00 109.19
Element x y z (fractional)
Ga 0.831 0.663 0.785
Ga 0.169 0.337 0.215
Tb 0.377 0.755 0.560
Nd 0.151 0.301 0.810
Tb 0.623 0.245 0.440
Nd 0.849 0.699 0.190
Tb 0.500 0.000 0.000

* space-group type: C2/m (12)
* crystal system: monoclinic
* electronic total energy: -31.6 eV per cell



Material: SiOsPt2
Method: DFT, PBE-GGA
State: optimized geometry

abc: 4.615 4.615 4.615
angles: 128.56 128.56 75.73
Element x y z (fractional)
Pt 0.000 0.000 0.000
Si 0.500 0.500 0.000
Os 0.750 0.250 0.500
Pt 0.250 0.750 0.500

* space-group type: I-4m2 (119)
* energy relative to the elements, uncorrected: 0.038 eV per atom
* crystal system: tetragonal
* electronic total energy: -28.6 eV per cell



Material: PmTmN
Method: DFT, PBE-GGA
State: optimized geometry

abc: 6.152 3.503 3.503
angles: 120.00 90.00 90.00
Last column: magnetic moment on the atom in μB.
Element x y z (fractional)
Tm 0.124 0.000 0.000  0.23
Pm 0.565 0.667 0.333  0.17
N 0.312 0.333 0.667  -0.01

* space-group type: P3m1 (156)
* energy relative to the elements, uncorrected: -0.991 eV per atom
* crystal system: trigonal
* electronic total energy: -20.5 eV per cell



Material: Ir2PtBr
Method: DFT, PBE-GGA
State: optimized geometry

abc: 4.797 4.797 2.817
angles: 90.00 90.00 90.00
Element x y z (fractional)
Ir 0.000 0.000 0.000
Ir 0.500 0.500 0.000
Pt 0.500 0.000 0.500
Br 0.000 0.500 0.500

* space-group type: P4/mmm (123)
* energy relative to the elements, uncorrected: 0.919 eV per atom
* crystal system: tetragonal
* electronic total energy: -21.8 eV per cell



Material: LiZn2Ag
Method: DFT, PBE-GGA
State: optimized geometry

abc: 5.192 5.192 2.782
angles: 80.49 80.49 118.97
Element x y z (fractional)
Ag 0.500 0.000 0.500
Li 0.000 0.500 0.500
Zn 0.000 0.000 0.000
Zn 0.500 0.500 0.000

* space-group type: C2/m (12)
* crystal system: monoclinic
* electronic total energy: -7.8 eV per cell



Material: MgNbCr2
Method: DFT, PBE-GGA
State: optimized geometry

abc: 7.050 7.050 5.748
angles: 52.18 52.18 90.00
Last column: magnetic moment on the atom in μB.
Element x y z (fractional)
Cr 0.375 0.359 0.750  2.89
Mg 0.500 0.500 0.000  -0.03
Mg 0.250 0.750 0.500  -0.03
Nb 0.750 0.250 0.500  -0.96
Nb 0.000 0.000 0.000  -0.97
Cr 0.109 0.625 0.250  2.89
Cr 0.875 0.891 0.750  2.90
Cr 0.641 0.125 0.250  2.88

* space-group type: I-42d (122)
* crystal system: tetragonal
* electronic total energy: -54.7 eV per cell



Material: Dy2ErTi
Method: DFT, PBE-GGA
State: optimized geometry

abc: 4.743 4.771 4.771
angles: 90.00 90.00 90.00
Last column: magnetic moment on the atom in μB.
Element x y z (fractional)
Er 0.500 0.500 0.500  0.00
Dy 0.000 0.500 0.000  -0.01
Ti 0.500 0.000 0.000  0.09
Dy 0.000 0.000 0.500  -0.01

* space-group type: P4/mmm (123)
* crystal system: tetragonal
* electronic total energy: -20.9 eV per cell



Material: Mg2In8Pd
Method: DFT, PBE-GGA
State: optimized geometry

abc: 4.710 4.710 12.053
angles: 90.00 90.00 90.00
Element x y z (fractional)
In 0.500 0.000 0.130
Pd 0.000 0.000 0.000
In 0.500 0.000 0.870
In 0.000 0.500 0.130
In 0.500 0.500 0.689
In 0.000 0.500 0.500
In 0.500 0.000 0.500
Mg 0.000 0.000 0.684
In 0.500 0.500 0.311
In 0.000 0.500 0.870
Mg 0.000 0.000 0.316

* space-group type: P4/mmm (123)
* crystal system: tetragonal
* electronic total energy: -31.6 eV per cell



Material: RbBiSb3
Method: DFT, PBE-GGA
State: optimized geometry

abc: 6.003 6.003 6.003
angles: 90.00 90.00 90.00
Element x y z (fractional)
Rb 0.500 0.500 0.500
Sb 0.500 0.000 0.000
Bi 0.000 0.000 0.000
Sb 0.000 0.000 0.500
Sb 0.000 0.500 0.000

* space-group type: Pm-3m (221)
* energy relative to the elements, uncorrected: 0.424 eV per atom
* crystal system: cubic
* electronic total energy: -15.1 eV per cell



Material: CsK2AgAu
Method: DFT, PBE-GGA
State: optimized geometry

abc: 6.389 6.389 5.562
angles: 90.00 90.00 90.00
Element x y z (fractional)
Au 0.000 0.000 0.000
Ag 0.000 0.000 0.500
K 0.000 0.500 0.000
K 0.500 0.000 0.000
Cs 0.500 0.500 0.500

* space-group type: P4/mmm (123)
* crystal system: tetragonal
* electronic total energy: -9.2 eV per cell



Material: Ga2FePd2
Method: DFT, PBE-GGA
State: optimized geometry

abc: 7.127 7.127 2.970
angles: 90.00 90.00 90.00
Last column: magnetic moment on the atom in μB.
Element x y z (fractional)
Ga 0.852 0.648 0.000  -0.04
Pd 0.152 0.652 0.500  -0.01
Fe 0.000 0.000 0.000  2.82
Fe 0.500 0.500 0.000  2.82
Ga 0.352 0.852 0.000  -0.04
Ga 0.148 0.352 0.000  -0.04
Ga 0.648 0.148 0.000  -0.04
Pd 0.848 0.348 0.500  -0.01
Pd 0.348 0.152 0.500  -0.01
Pd 0.652 0.848 0.500  -0.01

* space-group type: P4/mbm (127)
* crystal system: tetragonal
* electronic total energy: -52.6 eV per cell